No. 1
A plane-wave DFT calculation with PBE was carried out for a geometry-optimized BaOsW structure.

The structure in extended XYZ format:
```
3
Lattice="4.6204 0.0000 0.0000 2.3102 4.0014 0.0000 2.3102 1.3338 3.7726" Properties=species:S:1:pos:R:3 pbc="T T T"
W 4.6204 2.6676 1.8863
Ba 2.3102 1.3338 0.9431
Os 0.0000 0.0000 0.0000
```

Values from the calculation:
The value obtained for the density of states at the Fermi level is 4.889 states/eV per cell. As for the density: 12.18 Mg/m³. For the energy above the lowest structure with this stoichiometry, the calculation gives 6.86 eV/f.u. For the formation energy, the calculation gives 2.980 eV per atom. The space-group type is No. 216. As for the total energy: -5.722 eV/atom.

***

No. 2
A plane-wave DFT calculation with PBE was carried out for a geometry-optimized RbHf5S8 structure.

The structure in extended XYZ format:
```
14
Lattice="-3.2520 1.4998 -0.1828 -2.8978 -6.9749 -5.6747 -0.2418 -3.7552 8.6620" Properties=species:S:1:pos:R:3 pbc="T T T"
S -2.7390 -6.3283 -3.1944
S -1.4121 -2.6764 3.1625
S -3.6526 -2.9023 5.9991
S -2.3866 -0.8503 0.3106
S -2.0321 -4.4138 -0.0629
S -4.3596 -4.8170 2.8671
S -4.0051 -8.3803 2.4938
S -4.9796 -6.5543 -0.3582
Hf -2.8978 -6.9750 -5.6745
Hf -5.1294 -7.1832 -2.8542
Hf -3.4160 -2.9402 1.4771
Hf -1.2623 -2.0474 5.6586
Hf -2.9757 -6.2905 1.3272
Rb -3.3158 -6.4908 5.7343
```

Values from the calculation:
The value obtained for the density of states at the Fermi level is 5.785 states/eV per cell. As for the density: 6.75 Mg/m³. The value obtained for the formation energy without anion corrections is -1551 meV per atom. The space-group type is No. 12. As for the total energy: -7.533 eV/atom.

***

No. 3
A plane-wave DFT calculation with PBE was carried out for a geometry-optimized NbP2RuS structure.

The structure in extended XYZ format:
```
5
Lattice="-4.6453 0.0532 -1.2534 -1.2540 -0.3445 4.6327 -0.0375 4.6730 0.3373" Properties=species:S:1:pos:R:3 pbc="T T T"
Ru -2.9684 2.1909 1.8583
P -2.3226 0.0266 -0.6267
P -0.6270 -0.1722 2.3163
Nb 0.0000 0.0000 0.0000
S -0.0188 2.3365 0.1687
```

Values from the calculation:
The value obtained for the density of states at the Fermi level is 3.767 states/eV per cell. As for the density: 4.41 Mg/m³. For the energy above the lowest structure with this stoichiometry, the calculation gives 0.87 eV/f.u. The value obtained for the formation energy without anion corrections is 873 meV per atom. The space-group type is No. 123. As for the total energy: -5.986 eV/atom.

***

No. 4
A plane-wave DFT calculation with PBE was carried out for a geometry-optimized Cu3Pd5Pt2 structure.

The structure in extended XYZ format:
```
20
Lattice="7.4135 1.7992 -3.6396 0.6745 7.0836 -3.4916 -2.3442 -2.3989 8.0377" Properties=species:S:1:pos:R:3 pbc="T T T"
Pt 2.0535 4.3578 2.0099
Pt 1.4046 6.7147 -2.3303
Pt 4.3392 -0.2308 3.2368
Pt 3.6904 2.1260 -1.1034
Pd 3.5516 2.4904 3.5581
Pd 2.7217 1.4932 1.3745
Pd 1.6617 0.3374 3.8491
Pd 4.0821 6.1464 -2.9426
Pd 6.3998 2.3584 -0.5205
Pd -0.6560 4.1255 1.4270
Pd 2.1922 3.9935 -2.6516
Pd 4.6490 3.6911 1.1820
Pd 3.0221 4.9907 -0.4680
Pd 1.0948 2.7928 -0.2755
Cu 0.6296 2.4905 2.9303
Cu 0.2469 5.1671 -0.7098
Cu 5.5863 1.3809 -2.6608
Cu 0.1575 5.1030 3.5673
Cu 5.4970 1.3168 1.6163
Cu 5.1142 3.9934 -2.0238
```

Values from the calculation:
The value obtained for the density of states at the Fermi level is 36.601 states/eV per cell. As for the density: 11.91 Mg/m³. For the energy above the lowest structure with this stoichiometry, the calculation gives 2.03 eV/f.u. For the formation energy, the calculation gives 0.126 eV per atom. The space-group type is No. 15. As for the total energy: -4.908 eV/atom.

***

No. 5
A plane-wave DFT calculation with PBE was carried out for a geometry-optimized PrBi2Pb structure.

The structure in extended XYZ format:
```
4
Lattice="-5.2265 1.8510 1.2530 -2.7371 -2.0684 4.5323 -0.8332 3.2875 4.5618" Properties=species:S:1:pos:R:3 pbc="T T T"
Bi -6.5976 2.3025 7.7604
Bi -2.1992 0.7675 2.5868
Pr 0.0000 0.0000 0.0000
Pb -4.3984 1.5350 5.1736
```

Values from the calculation:
The value obtained for the density of states at the Fermi level is 2.080 states/eV per cell. As for the density: 9.79 Mg/m³. For the energy above the lowest structure with this stoichiometry, the calculation gives 0.57 eV/f.u. For the formation energy, the calculation gives -0.314 eV per atom. The space-group type is No. 225. As for the total energy: -4.376 eV/atom.

***

No. 6
A plane-wave DFT calculation with PBE was carried out for a geometry-optimized BeSCl2 structure.

The structure in extended XYZ format:
```
4
Lattice="1.7915 0.0000 11.3424 -0.8957 1.5515 11.3424 -0.8957 -1.5515 11.3424" Properties=species:S:1:pos:R:3 pbc="T T T"
Cl 0.0000 0.0000 29.6442
Cl 0.0000 0.0000 4.3832
S 0.0000 0.0000 0.0000
Be 0.0000 0.0000 17.0137
```

Values from the calculation:
The value obtained for the density of states at the Fermi level is 1.216 states/eV per cell. As for the density: 1.97 Mg/m³. For the energy above the lowest structure with this stoichiometry, the calculation gives 0.00 eV/f.u. The value obtained for the formation energy without anion corrections is -355 meV per atom. The space-group type is No. 166. As for the total energy: -3.242 eV/atom.

***

No. 7
A plane-wave DFT calculation with PBE was carried out for a geometry-optimized Hf6Al3N structure.

The structure in extended XYZ format:
```
20
Lattice="5.7155 0.0000 0.2177 0.0000 7.2847 0.0000 0.3408 0.0000 9.1118" Properties=species:S:1:pos:R:3 pbc="T T T"
Hf 1.0513 2.5930 4.1867
Hf 3.6883 1.5762 5.1580
Hf 1.9769 6.2354 0.4781
Hf 5.0051 4.6916 5.1428
Hf 2.3681 5.7084 4.1714
Hf 5.3962 5.2186 8.8361
Hf 4.0794 1.0493 8.8514
Hf 4.9187 6.9228 2.2798
Hf 0.6601 2.0661 0.4933
Hf 2.2314 4.0042 6.7268
Hf 3.8250 3.2804 2.6026
Hf 1.1376 0.3619 7.0497
Al 5.3802 2.8355 7.1440
Al 3.7043 6.4779 6.8501
Al 2.3520 0.8068 2.4793
Al 0.1704 0.0000 4.5559
Al 0.6761 4.4492 2.1854
Al 2.8578 3.6423 0.1088
N 3.0282 3.6423 4.6647
N 0.0000 0.0000 0.0000
```

Values from the calculation:
The value obtained for the density of states at the Fermi level is 12.631 states/eV per cell. As for the density: 10.22 Mg/m³. The value obtained for the formation energy without anion corrections is -440 meV per atom. The space-group type is No. 14. As for the total energy: -8.368 eV/atom.

***

No. 8
A plane-wave DFT calculation with PBE was carried out for a geometry-optimized TbEr8Th2 structure.

The structure in extended XYZ format:
```
11
Lattice="5.6680 1.6848 0.0000 2.6374 8.5562 0.0000 1.3187 4.2781 7.9637" Properties=species:S:1:pos:R:3 pbc="T T T"
Th 2.6374 8.5562 4.8813
Th 1.3187 4.2781 3.0825
Er 5.4714 9.3986 3.3232
Er 3.0672 6.9928 1.8748
Er 4.3859 11.2709 6.0890
Er 6.5569 7.5263 6.0890
Er 4.1527 5.1205 4.6405
Er 5.2382 3.2482 1.8748
Er 5.5041 6.0883 0.0000
Er 2.8013 4.1527 0.0000
Tb 2.8340 0.8424 0.0000
```

Values from the calculation:
The value obtained for the density of states at the Fermi level is 14.202 states/eV per cell. As for the density: 9.28 Mg/m³. For the energy above the lowest structure with this stoichiometry, the calculation gives 0.16 eV/f.u. For the formation energy, the calculation gives 0.202 eV per atom. The space-group type is No. 12. As for the total energy: -4.887 eV/atom.